[1]
The following is a DFT calculation (GGA-PBE) of Mo2Se3 after structural relaxation.

a = 5.9063 Å, b = 5.9063 Å, c = 12.6859 Å
α = 90.00°, β = 90.00°, γ = 120.00°
Closest atoms and distances in Å follow each position.
Fractional positions:
Mo 0.0000 0.0000 0.0000  6 Se 2.57
Mo 0.0000 0.0000 0.5000  6 Se 2.57
Mo 0.3333 0.6667 0.0032  6 Se 2.58-2.61
Mo 0.3333 0.6667 0.2500  6 Se 2.52
Mo 0.3333 0.6667 0.4968  6 Se 2.58-2.61
Mo 0.6667 0.3333 0.5032  6 Se 2.58-2.61
Mo 0.6667 0.3333 0.7500  6 Se 2.52
Mo 0.6667 0.3333 0.9968  6 Se 2.58-2.61
Se 0.0112 0.3353 0.8678  4 Mo 2.52-2.61
Se 0.0112 0.6759 0.6322  4 Mo 2.52-2.61
Se 0.3241 0.3353 0.6322  4 Mo 2.52-2.61
Se 0.3241 0.9888 0.8678  4 Mo 2.52-2.61
Se 0.3353 0.0112 0.3678  4 Mo 2.52-2.61
Se 0.3353 0.3241 0.1322  4 Mo 2.52-2.61
Se 0.6647 0.6759 0.8678  4 Mo 2.52-2.61
Se 0.6647 0.9888 0.6322  4 Mo 2.52-2.61
Se 0.6759 0.0112 0.1322  4 Mo 2.52-2.61
Se 0.6759 0.6647 0.3678  4 Mo 2.52-2.61
Se 0.9888 0.3241 0.3678  4 Mo 2.52-2.61
Se 0.9888 0.6647 0.1322  4 Mo 2.52-2.61

Summary:
Space-group type ... P-31c
V ... 19.2 Å³/atom
Total DFT energy (no corrections) ... -6.683 eV/atom

[2]
The following is a DFT calculation (GGA-PBE) of YAgPt after structural relaxation.

a = 6.6429 Å, b = 6.6429 Å, c = 6.6429 Å
α = 90.00°, β = 90.00°, γ = 90.00°
Closest atoms and distances in Å follow each position.
Fractional positions:
Y 0.0000 0.0000 0.0000  4 Pt 2.88, 4 Ag 2.88
Y 0.0000 0.5000 0.5000  4 Pt 2.88, 4 Ag 2.88
Y 0.5000 0.0000 0.5000  4 Pt 2.88, 4 Ag 2.88
Y 0.5000 0.5000 0.0000  4 Pt 2.88, 4 Ag 2.88
Ag 0.2500 0.2500 0.7500  4 Y 2.88
Ag 0.2500 0.7500 0.2500  4 Y 2.88
Ag 0.7500 0.2500 0.2500  4 Y 2.88
Ag 0.7500 0.7500 0.7500  4 Y 2.88
Pt 0.2500 0.2500 0.2500  4 Y 2.88
Pt 0.2500 0.7500 0.7500  4 Y 2.88
Pt 0.7500 0.2500 0.7500  4 Y 2.88
Pt 0.7500 0.7500 0.2500  4 Y 2.88

Summary:
Space-group type ... F-43m
V ... 24.4 Å³/atom
E above lowest polymorph ... 1.03 eV/f.u.
Total DFT energy (no corrections) ... -5.432 eV/atom

[3]
The following is a DFT calculation (GGA-PBE) of BaCuSn2 after structural relaxation.

a = 7.6059 Å, b = 7.6059 Å, c = 7.6059 Å
α = 90.00°, β = 90.00°, γ = 90.00°
Closest atoms and distances in Å follow each position.
Fractional positions:
Ba 0.0000 0.0000 0.0000  4 Cu 3.29, 4 Sn 3.29
Ba 0.0000 0.5000 0.5000  4 Cu 3.29, 4 Sn 3.29
Ba 0.5000 0.0000 0.5000  4 Cu 3.29, 4 Sn 3.29
Ba 0.5000 0.5000 0.0000  4 Cu 3.29, 4 Sn 3.29
Cu 0.2500 0.2500 0.2500  4 Sn 3.29, 4 Ba 3.29
Cu 0.2500 0.7500 0.7500  4 Ba 3.29, 4 Sn 3.29
Cu 0.7500 0.2500 0.7500  4 Ba 3.29, 4 Sn 3.29
Cu 0.7500 0.7500 0.2500  4 Ba 3.29, 4 Sn 3.29
Sn 0.0000 0.0000 0.5000  4 Sn 3.29, 4 Cu 3.29
Sn 0.0000 0.5000 0.0000  4 Sn 3.29, 4 Cu 3.29
Sn 0.2500 0.2500 0.7500  4 Ba 3.29, 4 Sn 3.29
Sn 0.2500 0.7500 0.2500  4 Ba 3.29, 4 Sn 3.29
Sn 0.5000 0.0000 0.0000  4 Sn 3.29, 4 Cu 3.29
Sn 0.5000 0.5000 0.5000  4 Sn 3.29, 4 Cu 3.29
Sn 0.7500 0.2500 0.2500  4 Ba 3.29, 4 Sn 3.29
Sn 0.7500 0.7500 0.7500  4 Ba 3.29, 4 Sn 3.29

Summary:
Space-group type ... F-43m
V ... 27.5 Å³/atom
Total DFT energy (no corrections) ... -3.462 eV/atom

[4]
The following is a DFT calculation (GGA-PBE) of ZnGeMo after structural relaxation.

a = 5.9073 Å, b = 5.9073 Å, c = 5.9073 Å
α = 90.00°, β = 90.00°, γ = 90.00°
Closest atoms and distances in Å follow each position.
Fractional positions:
Zn 0.0000 0.0000 0.0000  4 Ge 2.56
Zn 0.0000 0.5000 0.5000  4 Ge 2.56
Zn 0.5000 0.0000 0.5000  4 Ge 2.56
Zn 0.5000 0.5000 0.0000  4 Ge 2.56
Ge 0.2500 0.2500 0.7500  4 Mo 2.56, 4 Zn 2.56
Ge 0.2500 0.7500 0.2500  4 Mo 2.56, 4 Zn 2.56
Ge 0.7500 0.2500 0.2500  4 Mo 2.56, 4 Zn 2.56
Ge 0.7500 0.7500 0.7500  4 Mo 2.56, 4 Zn 2.56
Mo 0.0000 0.0000 0.5000  4 Ge 2.56
Mo 0.0000 0.5000 0.0000  4 Ge 2.56
Mo 0.5000 0.0000 0.0000  4 Ge 2.56
Mo 0.5000 0.5000 0.5000  4 Ge 2.56

Summary:
Space-group type ... F-43m
V ... 17.2 Å³/atom
Total DFT energy (no corrections) ... -5.123 eV/atom

[5]
The following is a DFT calculation (GGA-PBE) of HfMgCuAs after structural relaxation.

a = 6.5578 Å, b = 6.5578 Å, c = 6.5578 Å
α = 90.00°, β = 90.00°, γ = 90.00°
Closest atoms and distances in Å follow each position.
Fractional positions:
Hf 0.0000 0.0000 0.0000  4 As 2.84, 4 Mg 2.84
Hf 0.0000 0.5000 0.5000  4 As 2.84, 4 Mg 2.84
Hf 0.5000 0.0000 0.5000  4 As 2.84, 4 Mg 2.84
Hf 0.5000 0.5000 0.0000  4 As 2.84, 4 Mg 2.84
Mg 0.2500 0.2500 0.7500  4 Hf 2.84, 4 Cu 2.84
Mg 0.2500 0.7500 0.2500  4 Hf 2.84, 4 Cu 2.84
Mg 0.7500 0.2500 0.2500  4 Hf 2.84, 4 Cu 2.84
Mg 0.7500 0.7500 0.7500  4 Hf 2.84, 4 Cu 2.84
Cu 0.0000 0.0000 0.5000  4 As 2.84, 4 Mg 2.84
Cu 0.0000 0.5000 0.0000  4 As 2.84, 4 Mg 2.84
Cu 0.5000 0.0000 0.0000  4 As 2.84, 4 Mg 2.84
Cu 0.5000 0.5000 0.5000  4 As 2.84, 4 Mg 2.84
As 0.2500 0.2500 0.2500  4 Cu 2.84, 4 Hf 2.84
As 0.2500 0.7500 0.7500  4 Hf 2.84, 4 Cu 2.84
As 0.7500 0.2500 0.7500  4 Hf 2.84, 4 Cu 2.84
As 0.7500 0.7500 0.2500  4 Hf 2.84, 4 Cu 2.84

Summary:
Space-group type ... F-43m
V ... 17.6 Å³/atom
E above lowest polymorph ... 0.00 eV/f.u.
Total DFT energy (no corrections) ... -4.816 eV/atom

[6]
The following is a DFT calculation (GGA-PBE) of TlAgSnSe3 after structural relaxation.

a = 8.9061 Å, b = 8.9061 Å, c = 9.2089 Å
α = 103.64°, β = 103.64°, γ = 25.97°
Closest atoms and distances in Å follow each position.
Fractional positions:
Tl 0.1370 0.1370 0.0634  7 Se 3.05-3.34
Tl 0.8630 0.8630 0.9366  7 Se 3.05-3.34
Ag 0.4933 0.4933 0.2869  5 Se 2.67-2.87
Ag 0.5067 0.5067 0.7131  5 Se 2.67-2.87
Sn 0.1716 0.1716 0.5861  6 Se 2.77-2.89
Sn 0.8284 0.8284 0.4139  6 Se 2.77-2.89
Se 0.0000 0.0000 0.5000  4 Ag 2.79, 2 Sn 2.89
Se 0.3316 0.3316 0.2074  1 Ag 2.72, 2 Sn 2.77
Se 0.3362 0.3362 0.6386  3 Sn 2.78-2.86, 1 Ag 2.87
Se 0.5000 0.5000 0.0000  2 Ag 2.67
Se 0.6638 0.6638 0.3614  3 Sn 2.78-2.86, 1 Ag 2.87
Se 0.6684 0.6684 0.7926  1 Ag 2.72, 2 Sn 2.77

Summary:
Space-group type ... C2/m
V ... 25.9 Å³/atom
E above lowest polymorph ... 0.10 eV/f.u.
Total DFT energy (no corrections) ... -3.548 eV/atom

[7]
The following is a DFT calculation (GGA-PBE) of KAlCuTe3 after structural relaxation.

a = 16.3339 Å, b = 3.9629 Å, c = 11.0267 Å
α = 90.00°, β = 90.00°, γ = 90.00°
Closest atoms and distances in Å follow each position.
Fractional positions:
K 0.2285 0.2500 0.0360  7 Te 3.55-3.95, 2 K 3.96
K 0.2715 0.7500 0.5360  7 Te 3.55-3.95, 2 K 3.96
K 0.7285 0.2500 0.4640  7 Te 3.55-3.95, 2 K 3.96
K 0.7715 0.7500 0.9640  7 Te 3.55-3.95, 2 K 3.96
Al 0.0165 0.2500 0.3456  6 Te 2.78-2.87
Al 0.4835 0.7500 0.8456  6 Te 2.78-2.87
Al 0.5165 0.2500 0.1544  6 Te 2.78-2.87
Al 0.9835 0.7500 0.6544  6 Te 2.78-2.87
Cu 0.0129 0.7500 0.0768  4 Te 2.62-2.64, 2 Cu 2.64
Cu 0.4871 0.2500 0.5768  4 Te 2.62-2.64, 2 Cu 2.64
Cu 0.5129 0.7500 0.4232  4 Te 2.62-2.64, 2 Cu 2.64
Cu 0.9871 0.2500 0.9232  4 Te 2.62-2.64, 2 Cu 2.64
Te 0.0864 0.7500 0.8659  3 Cu 2.62-2.64, 1 Al 2.87
Te 0.0930 0.2500 0.5712  3 Al 2.78-2.82
Te 0.1197 0.7500 0.2569  1 Cu 2.64, 2 Al 2.78
Te 0.3803 0.2500 0.7569  1 Cu 2.64, 2 Al 2.78
Te 0.4070 0.7500 0.0712  3 Al 2.78-2.82
Te 0.4136 0.2500 0.3659  3 Cu 2.62-2.64, 1 Al 2.87
Te 0.5864 0.7500 0.6341  3 Cu 2.62-2.64, 1 Al 2.87
Te 0.5930 0.2500 0.9288  3 Al 2.78-2.82
Te 0.6197 0.7500 0.2431  1 Cu 2.64, 2 Al 2.78
Te 0.8803 0.2500 0.7431  1 Cu 2.64, 2 Al 2.78
Te 0.9070 0.7500 0.4288  3 Al 2.78-2.82
Te 0.9136 0.2500 0.1341  3 Cu 2.62-2.64, 1 Al 2.87

Summary:
Space-group type ... Pnma
V ... 29.7 Å³/atom
E above lowest polymorph ... 0.00 eV/f.u.
Total DFT energy (no corrections) ... -3.461 eV/atom

[8]
The following is a DFT calculation (GGA-PBE) of GdUTl after structural relaxation.

a = 7.3995 Å, b = 7.3995 Å, c = 7.3995 Å
α = 90.00°, β = 90.00°, γ = 90.00°
Closest atoms and distances in Å follow each position.
Fractional positions:
Gd 0.0000 0.0000 0.0000  4 Tl 3.20
Gd 0.0000 0.5000 0.5000  4 Tl 3.20
Gd 0.5000 0.0000 0.5000  4 Tl 3.20
Gd 0.5000 0.5000 0.0000  4 Tl 3.20
U 0.0000 0.0000 0.5000  4 Tl 3.20
U 0.0000 0.5000 0.0000  4 Tl 3.20
U 0.5000 0.0000 0.0000  4 Tl 3.20
U 0.5000 0.5000 0.5000  4 Tl 3.20
Tl 0.2500 0.2500 0.2500  4 Gd 3.20, 4 U 3.20
Tl 0.2500 0.7500 0.7500  4 Gd 3.20, 4 U 3.20
Tl 0.7500 0.2500 0.7500  4 Gd 3.20, 4 U 3.20
Tl 0.7500 0.7500 0.2500  4 Gd 3.20, 4 U 3.20

Summary:
Space-group type ... F-43m
V ... 33.8 Å³/atom
E above lowest polymorph ... 0.00 eV/f.u.
Total DFT energy (no corrections) ... -5.417 eV/atom

[9]
The following is a DFT calculation (GGA-PBE) of MgCoWAu after structural relaxation.

a = 6.1728 Å, b = 6.1728 Å, c = 6.1728 Å
α = 90.00°, β = 90.00°, γ = 90.00°
Closest atoms and distances in Å follow each position.
Fractional positions:
Mg 0.0000 0.0000 0.0000  4 W 2.67, 4 Au 2.67
Mg 0.0000 0.5000 0.5000  4 W 2.67, 4 Au 2.67
Mg 0.5000 0.0000 0.5000  4 W 2.67, 4 Au 2.67
Mg 0.5000 0.5000 0.0000  4 W 2.67, 4 Au 2.67
Co 0.0000 0.0000 0.5000  4 W 2.67, 4 Au 2.67
Co 0.0000 0.5000 0.0000  4 W 2.67, 4 Au 2.67
Co 0.5000 0.0000 0.0000  4 W 2.67, 4 Au 2.67
Co 0.5000 0.5000 0.5000  4 W 2.67, 4 Au 2.67
W 0.2500 0.2500 0.2500  4 Co 2.67, 4 Mg 2.67
W 0.2500 0.7500 0.7500  4 Co 2.67, 4 Mg 2.67
W 0.7500 0.2500 0.7500  4 Co 2.67, 4 Mg 2.67
W 0.7500 0.7500 0.2500  4 Co 2.67, 4 Mg 2.67
Au 0.2500 0.2500 0.7500  4 Mg 2.67, 4 Co 2.67
Au 0.2500 0.7500 0.2500  4 Mg 2.67, 4 Co 2.67
Au 0.7500 0.2500 0.2500  4 Mg 2.67, 4 Co 2.67
Au 0.7500 0.7500 0.7500  4 Co 2.67, 4 Mg 2.67

Summary:
Space-group type ... F-43m
V ... 14.7 Å³/atom
E above lowest polymorph ... 0.00 eV/f.u.
Total DFT energy (no corrections) ... -5.920 eV/atom

[10]
The following is a DFT calculation (GGA-PBE) of ZrU after structural relaxation.

a = 5.1410 Å, b = 13.2640 Å, c = 5.2595 Å
α = 90.00°, β = 90.00°, γ = 90.00°
Closest atoms and distances in Å follow each position.
Fractional positions:
Zr 0.2500 0.0032 0.2216  4 Zr 3.06-3.08, 6 U 3.12-3.40
Zr 0.2500 0.1222 0.7211  5 Zr 3.06-3.39, 7 U 3.09-3.42
Zr 0.2500 0.3778 0.7211  5 Zr 3.06-3.39, 7 U 3.09-3.42
Zr 0.2500 0.4968 0.2216  4 Zr 3.06-3.08, 6 U 3.12-3.40
Zr 0.7500 0.5032 0.7784  4 Zr 3.06-3.08, 6 U 3.12-3.40
Zr 0.7500 0.6222 0.2789  5 Zr 3.06-3.39, 7 U 3.09-3.42
Zr 0.7500 0.8778 0.2789  5 Zr 3.06-3.39, 7 U 3.09-3.42
Zr 0.7500 0.9968 0.7784  4 Zr 3.06-3.08, 6 U 3.12-3.40
U 0.2500 0.2500 0.2216  4 U 3.02, 6 Zr 3.13-3.27
U 0.2500 0.6339 0.7073  1 U 2.56
U 0.2500 0.7500 0.3182  2 U 2.56
U 0.2500 0.8661 0.7073  1 U 2.56
U 0.7500 0.1339 0.2927  1 U 2.56
U 0.7500 0.2500 0.6818  2 U 2.56
U 0.7500 0.3661 0.2927  1 U 2.56
U 0.7500 0.7500 0.7784  4 U 3.02, 6 Zr 3.13-3.27

Summary:
Space-group type ... Pmmn
V ... 22.4 Å³/atom
E above lowest polymorph ... 0.22 eV/f.u.
Total DFT energy (no corrections) ... -9.698 eV/atom